A geometry-optimized InCu2Os structure, computed with PBE.

Structure (CIF):
```
data_InCu2Os
_space_group_name_H-M_alt 'I -4 2 d'
_space_group_IT_number 122
_space_group_name_Hall 'I -4 2bw'
_cell_length_a 3.810
_cell_length_b 3.810
_cell_length_c 18.385
_cell_angle_alpha 90.00
_cell_angle_beta 90.00
_cell_angle_gamma 90.00
loop_
_atom_site_label
_atom_site_fract_x
_atom_site_fract_y
_atom_site_fract_z
In1 0.000 0.000 0.000
Cu1 0.215 0.250 0.625
Os1 0.000 0.000 0.500
```

Computed properties:
Energy of formation from the pure elements, eV/atom: 0.7040
Total energy, eV/atom: -4.84
Crystal system: tetragonal
Total magnetic moment, μB per formula unit: 0.72